# PBE Pa2Ga3Sn3, relaxed
# Size of the total moment in Bohr magnetons per cell: 0.0
# Formation energy from the elements in eV per atom: -0.35
data_Pa2Ga3Sn3
_cell_length_a 4.3951
_cell_length_b 4.4873
_cell_length_c 9.1242
_cell_angle_alpha 90.00
_cell_angle_beta 90.00
_cell_angle_gamma 90.00
_symmetry_space_group_name_H-M 'P m m m'
_symmetry_Int_Tables_number 47
loop_
_symmetry_equiv_pos_as_xyz
'x,y,z'
'-x,-y,-z'
'-x,-y,z'
'x,y,-z'
'x,-y,-z'
'-x,y,z'
'-x,y,-z'
'x,-y,z'
loop_
_atom_site_label
_atom_site_type_symbol
_atom_site_fract_x
_atom_site_fract_y
_atom_site_fract_z
_atom_site_occupancy
Pa1 Pa 0.0000 0.0000 0.2439 1
Ga1 Ga 0.5000 0.0000 0.0000 1
Ga2 Ga 0.5000 0.5000 0.2376 1
Sn1 Sn 0.0000 0.5000 0.0000 1
Sn2 Sn 0.0000 0.5000 0.5000 1
Sn3 Sn 0.5000 0.0000 0.5000 1



# PBE V2TcAgN, relaxed
# Size of the total moment in Bohr magnetons per cell: 4.4
# Raw formation energy in eV per formula unit: 5.1
data_V2TcAgN
_cell_length_a 4.8478
_cell_length_b 4.8478
_cell_length_c 3.7800
_cell_angle_alpha 90.00
_cell_angle_beta 90.00
_cell_angle_gamma 90.00
_symmetry_space_group_name_H-M 'P 4/m m m'
_symmetry_Int_Tables_number 123
_symmetry_space_group_name_Hall '-P 4 2'
loop_
_atom_site_label
_atom_site_type_symbol
_atom_site_fract_x
_atom_site_fract_y
_atom_site_fract_z
_atom_site_occupancy
V1 V 0.0000 0.5000 0.0000 1
Tc1 Tc 0.0000 0.0000 0.0000 1
Ag1 Ag 0.5000 0.5000 0.5000 1
N1 N 0.0000 0.0000 0.5000 1



# PBE Ba2AlInS5, relaxed
# Size of the total moment in Bohr magnetons per cell: 0.0
# Raw formation energy in eV per formula unit: -12.8
data_Ba2AlInS5
_cell_length_a 3.9837
_cell_length_b 18.6688
_cell_length_c 12.7271
_cell_angle_alpha 90.00
_cell_angle_beta 90.00
_cell_angle_gamma 90.00
_symmetry_space_group_name_H-M 'C m c 21'
_symmetry_Int_Tables_number 36
loop_
_symmetry_equiv_pos_as_xyz
'x,y,z'
'-x,-y,z+1/2'
'-x,y,z'
'x,-y,z+1/2'
'x+1/2,y+1/2,z'
'-x+1/2,-y+1/2,z+1/2'
'-x+1/2,y+1/2,z'
'x+1/2,-y+1/2,z+1/2'
loop_
_atom_site_label
_atom_site_type_symbol
_atom_site_fract_x
_atom_site_fract_y
_atom_site_fract_z
_atom_site_occupancy
Ba1 Ba 0.0000 0.1167 0.0000 1
Ba2 Ba 0.0000 0.1240 0.6261 1
Al1 Al 0.0000 0.4355 0.7562 1
In1 In 0.0000 0.2159 0.3429 1
S1 S 0.0000 0.0507 0.3524 1
S2 S 0.0000 0.2883 0.9785 1
S3 S 0.0000 0.3177 0.7026 1
S4 S 0.0000 0.3495 0.3149 1
S5 S 0.0000 0.4952 0.6047 1



# PBE ZrTl2Hg2, relaxed
# Distance to the lowest polymorph of the same formula in meV/atom: 165
# Size of the total moment in Bohr magnetons per cell: 0.0
# Formation energy from the elements in eV per atom: 0.39
data_ZrTl2Hg2
_cell_length_a 4.1091
_cell_length_b 4.1091
_cell_length_c 16.3235
_cell_angle_alpha 90.00
_cell_angle_beta 90.00
_cell_angle_gamma 90.00
_symmetry_space_group_name_H-M 'I 4/m m m'
_symmetry_Int_Tables_number 139
_symmetry_space_group_name_Hall '-I 4 2'
loop_
_atom_site_label
_atom_site_type_symbol
_atom_site_fract_x
_atom_site_fract_y
_atom_site_fract_z
_atom_site_occupancy
Zr1 Zr 0.0000 0.0000 0.0000 1
Tl1 Tl 0.0000 0.5000 0.2500 1
Hg1 Hg 0.0000 0.0000 0.4112 1



# PBE Y2ErIn3Hg6, relaxed
# Size of the total moment in Bohr magnetons per cell: 0.0
# Formation energy from the elements in eV per atom: -0.06
data_Y2ErIn3Hg6
_cell_length_a 4.2218
_cell_length_b 4.2218
_cell_length_c 20.2834
_cell_angle_alpha 90.00
_cell_angle_beta 90.00
_cell_angle_gamma 90.00
_symmetry_space_group_name_H-M 'P 4/m m m'
_symmetry_Int_Tables_number 123
_symmetry_space_group_name_Hall '-P 4 2'
loop_
_atom_site_label
_atom_site_type_symbol
_atom_site_fract_x
_atom_site_fract_y
_atom_site_fract_z
_atom_site_occupancy
Y1 Y 0.0000 0.0000 0.2166 1
Er1 Er 0.0000 0.0000 0.5000 1
In1 In 0.5000 0.5000 0.0000 1
In2 In 0.5000 0.5000 0.2787 1
Hg1 Hg 0.0000 0.5000 0.3886 1
Hg2 Hg 0.5000 0.5000 0.1369 1



# PBE SnF2, relaxed
# Size of the total moment in Bohr magnetons per cell: 0.0
# Raw formation energy in eV per formula unit: -6.9
data_SnF2
_cell_length_a 13.2941
_cell_length_b 5.1354
_cell_length_c 14.1864
_cell_angle_alpha 90.00
_cell_angle_beta 108.13
_cell_angle_gamma 90.00
_symmetry_space_group_name_H-M 'C 1 2/c 1'
_symmetry_Int_Tables_number 15
loop_
_symmetry_equiv_pos_as_xyz
'x,y,z'
'-x,-y,-z'
'-x,y,-z+1/2'
'x,-y,z+1/2'
'x+1/2,y+1/2,z'
'-x+1/2,-y+1/2,-z'
'-x+1/2,y+1/2,-z+1/2'
'x+1/2,-y+1/2,z+1/2'
loop_
_atom_site_label
_atom_site_type_symbol
_atom_site_fract_x
_atom_site_fract_y
_atom_site_fract_z
_atom_site_occupancy
Sn1 Sn 0.1194 0.0068 0.1853 1
Sn2 Sn 0.1278 0.4781 0.9422 1
F1 F 0.0370 0.3433 0.5863 1
F2 F 0.1142 0.2124 0.8212 1
F3 F 0.1731 0.1488 0.0378 1
F4 F 0.2479 0.2726 0.3033 1



# PBE ScBiSe2N, relaxed
# Distance to the lowest polymorph of the same formula in meV/atom: 0
# Size of the total moment in Bohr magnetons per cell: 1.5
# Raw formation energy in eV per formula unit: -0.7
data_ScBiSe2N
_cell_length_a 5.3079
_cell_length_b 5.3079
_cell_length_c 4.0741
_cell_angle_alpha 90.00
_cell_angle_beta 90.00
_cell_angle_gamma 90.00
_symmetry_space_group_name_H-M 'P 4/m m m'
_symmetry_Int_Tables_number 123
_symmetry_space_group_name_Hall '-P 4 2'
loop_
_atom_site_label
_atom_site_type_symbol
_atom_site_fract_x
_atom_site_fract_y
_atom_site_fract_z
_atom_site_occupancy
Sc1 Sc 0.0000 0.0000 0.0000 1
Bi1 Bi 0.5000 0.5000 0.5000 1
Se1 Se 0.0000 0.5000 0.0000 1
N1 N 0.0000 0.0000 0.5000 1



# PBE Al6Cu5, relaxed
# Size of the total moment in Bohr magnetons per cell: 0.0
# Formation energy from the elements in eV per atom: -0.15
data_Al6Cu5
_cell_length_a 4.0914
_cell_length_b 6.1887
_cell_length_c 12.2520
_cell_angle_alpha 90.00
_cell_angle_beta 90.00
_cell_angle_gamma 90.00
_symmetry_space_group_name_H-M 'I m m m'
_symmetry_Int_Tables_number 71
_symmetry_space_group_name_Hall '-I 2 2'
loop_
_atom_site_label
_atom_site_type_symbol
_atom_site_fract_x
_atom_site_fract_y
_atom_site_fract_z
_atom_site_occupancy
Al1 Al 0.0000 0.2310 0.0000 1
Al2 Al 0.0000 0.2592 0.3390 1
Cu1 Cu 0.0000 0.0000 0.1716 1
Cu2 Cu 0.0000 0.0000 0.5000 1
Cu3 Cu 0.0000 0.5000 0.1660 1



# PBE NbGaBi2O, relaxed
# Size of the total moment in Bohr magnetons per cell: 0.0
# Raw formation energy in eV per formula unit: 6.4
data_NbGaBi2O
_cell_length_a 5.3285
_cell_length_b 5.3285
_cell_length_c 4.8999
_cell_angle_alpha 90.00
_cell_angle_beta 90.00
_cell_angle_gamma 90.00
_symmetry_space_group_name_H-M 'P 4/m m m'
_symmetry_Int_Tables_number 123
_symmetry_space_group_name_Hall '-P 4 2'
loop_
_atom_site_label
_atom_site_type_symbol
_atom_site_fract_x
_atom_site_fract_y
_atom_site_fract_z
_atom_site_occupancy
Nb1 Nb 0.0000 0.0000 0.0000 1
Ga1 Ga 0.0000 0.0000 0.5000 1
Bi1 Bi 0.0000 0.5000 0.5000 1
O1 O 0.5000 0.5000 0.0000 1



# PBE ErThGe, relaxed
# Distance to the lowest polymorph of the same formula in meV/atom: 126
# Size of the total moment in Bohr magnetons per cell: 0.0
# Formation energy from the elements in eV per atom: -0.22
data_ErThGe
_cell_length_a 4.8256
_cell_length_b 4.8256
_cell_length_c 4.0658
_cell_angle_alpha 90.00
_cell_angle_beta 90.00
_cell_angle_gamma 120.00
_symmetry_space_group_name_H-M 'P 3 m 1'
_symmetry_Int_Tables_number 156
loop_
_symmetry_equiv_pos_as_xyz
'x,y,z'
'-y,x-y,z'
'-x+y,-x,z'
'-y,-x,z'
'-x+y,y,z'
'x,x-y,z'
loop_
_atom_site_label
_atom_site_type_symbol
_atom_site_fract_x
_atom_site_fract_y
_atom_site_fract_z
_atom_site_occupancy
Er1 Er 0.0000 0.0000 0.0000 1
Th1 Th 0.3333 0.6667 0.4910 1
Ge1 Ge 0.6667 0.3333 0.8587 1



# PBE Pm6Pr2Nd3, relaxed
# Distance to the lowest polymorph of the same formula in meV/atom: 105
# Size of the total moment in Bohr magnetons per cell: 0.0
# Formation energy from the elements in eV per atom: 0.25
data_Pm6Pr2Nd3
_cell_length_a 4.8671
_cell_length_b 4.8671
_cell_length_c 34.0627
_cell_angle_alpha 90.00
_cell_angle_beta 90.00
_cell_angle_gamma 90.00
_symmetry_space_group_name_H-M 'I 4/m m m'
_symmetry_Int_Tables_number 139
_symmetry_space_group_name_Hall '-I 4 2'
loop_
_atom_site_label
_atom_site_type_symbol
_atom_site_fract_x
_atom_site_fract_y
_atom_site_fract_z
_atom_site_occupancy
Pm1 Pm 0.0000 0.0000 0.1975 1
Pm2 Pm 0.0000 0.5000 0.1209 1
Pr1 Pr 0.0000 0.0000 0.0457 1
Nd1 Nd 0.0000 0.0000 0.2988 1
Nd2 Nd 0.0000 0.0000 0.5000 1



# PBE Be2CuBr, relaxed
# Distance to the lowest polymorph of the same formula in meV/atom: 561
# Size of the total moment in Bohr magnetons per cell: 0.0
# Raw formation energy in eV per formula unit: 2.7
data_Be2CuBr
_cell_length_a 3.2649
_cell_length_b 3.2649
_cell_length_c 11.5927
_cell_angle_alpha 90.00
_cell_angle_beta 90.00
_cell_angle_gamma 90.00
_symmetry_space_group_name_H-M 'I -4 m 2'
_symmetry_Int_Tables_number 119
_symmetry_space_group_name_Hall 'I -4 -2'
loop_
_atom_site_label
_atom_site_type_symbol
_atom_site_fract_x
_atom_site_fract_y
_atom_site_fract_z
_atom_site_occupancy
Be1 Be 0.0000 0.0000 0.0000 1
Be2 Be 0.0000 0.5000 0.2500 1
Cu1 Cu 0.0000 0.0000 0.5000 1
Br1 Br 0.0000 0.5000 0.7500 1



Q: size of the total moment of number 9 (NbGaBi2O)?
A: 0.0 Bohr magnetons per cell